Material: HfCrF2
Method: DFT, PBE+U
State: optimized geometry

```
HfCrF2
1.0
0.000 3.049 3.049
3.049 0.000 3.049
3.049 3.049 0.000
Cr Hf F
1 1 2
direct
0.000 0.000 0.000
0.500 0.500 0.500
0.250 0.250 0.250
0.750 0.750 0.750
```

Computed properties:
Its volume is 14.17 A^3/atom. Its space-group type is No. 225. Its energy is -24.405 eV for the cell shown. The value obtained for the polymorph energy (0 for the lowest one) is 292 kJ/mol of formula units. As for the density of states at the Fermi level: 1.299 states/eV/atom.